[1]
The following is a DFT calculation (PBE) of a relaxed structure of K3Er2MnSe6.

a b c (Å): 7.089 7.089 8.015
angles (deg): 98.49 98.49 120.05
Positions (direct):
K  0.000  0.000  0.000
K  0.331  0.669  0.000
K  0.669  0.331  0.000
Er  0.166  0.834  0.500
Er  0.834  0.166  0.500
Mn  0.500  0.500  0.500
Se  0.119  0.434  0.303
Se  0.251  0.251  0.697
Se  0.434  0.119  0.303
Se  0.566  0.881  0.697
Se  0.749  0.749  0.303
Se  0.881  0.566  0.697

- symmetry = C2/m, No. 12

=====

[2]
The following is a DFT calculation (PBE) of a relaxed structure of K2ErMn2Se4.

a b c (Å): 7.959 7.959 7.952
angles (deg): 109.09 109.09 30.32
Positions (direct):
K  0.131  0.131  0.055
K  0.869  0.869  0.945
Er  0.000  0.000  0.500
Mn  0.321  0.321  0.516
Mn  0.679  0.679  0.484
Se  0.199  0.199  0.681
Se  0.482  0.482  0.736
Se  0.518  0.518  0.264
Se  0.801  0.801  0.319

- symmetry = C2/m, No. 12

=====

[3]
The following is a DFT calculation (PBE) of a relaxed structure of K3Er3MnSe8.

a b c (Å): 9.125 9.125 9.125
angles (deg): 52.75 52.75 52.75
Positions (direct):
K  0.000  0.500  0.500
K  0.500  0.000  0.500
K  0.500  0.500  0.000
Er  0.000  0.000  0.500
Er  0.000  0.500  0.000
Er  0.500  0.000  0.000
Mn  0.500  0.500  0.500
Se  0.235  0.235  0.235
Se  0.259  0.715  0.715
Se  0.285  0.285  0.741
Se  0.285  0.741  0.285
Se  0.715  0.259  0.715
Se  0.715  0.715  0.259
Se  0.741  0.285  0.285
Se  0.765  0.765  0.765

- symmetry = R-3m, No. 166

=====

[4]
The following is a DFT calculation (PBE) of a relaxed structure of K3Er2MnTe6.

a b c (Å): 7.595 7.595 8.603
angles (deg): 98.50 98.50 120.03
Positions (direct):
K  0.000  0.000  0.000
K  0.329  0.671  0.000
K  0.671  0.329  0.000
Er  0.166  0.834  0.500
Er  0.834  0.166  0.500
Mn  0.500  0.500  0.500
Te  0.119  0.434  0.301
Te  0.252  0.252  0.701
Te  0.434  0.119  0.301
Te  0.566  0.881  0.699
Te  0.748  0.748  0.299
Te  0.881  0.566  0.699

- symmetry = C2/m, No. 12

=====

[5]
The following is a DFT calculation (PBE) of a relaxed structure of K2ErMnTe4.

a b c (Å): 9.171 9.171 9.171
angles (deg): 121.75 120.59 87.98
Positions (direct):
K  0.000  0.000  0.000
K  0.500  0.000  0.000
K  0.500  0.000  0.500
K  0.500  0.500  0.500
Er  0.000  0.500  0.500
Er  0.500  0.500  0.000
Mn  0.000  0.000  0.500
Mn  0.000  0.500  0.000
Te  0.182  0.738  0.444
Te  0.206  0.262  0.944
Te  0.240  0.264  0.523
Te  0.240  0.717  0.977
Te  0.760  0.283  0.023
Te  0.760  0.736  0.477
Te  0.794  0.738  0.056
Te  0.818  0.262  0.556

- symmetry = Imma, No. 74

=====

[6]
The following is a DFT calculation (PBE) of a relaxed structure of K3Er3MnTe8.

a b c (Å): 8.664 8.664 9.826
angles (deg): 116.20 116.20 59.96
Positions (direct):
K  0.000  0.000  0.000
K  0.000  0.500  0.000
K  0.500  0.000  0.000
Er  0.000  0.500  0.500
Er  0.500  0.000  0.500
Er  0.500  0.500  0.500
Mn  0.000  0.000  0.500
Te  0.218  0.218  0.692
Te  0.218  0.757  0.692
Te  0.243  0.782  0.308
Te  0.264  0.264  0.292
Te  0.736  0.736  0.708
Te  0.757  0.218  0.692
Te  0.782  0.243  0.308
Te  0.782  0.782  0.308

- symmetry = C2/m, No. 12

=====

[7]
The following is a DFT calculation (PBE) of a relaxed structure of KErMnTe3.

a b c (Å): 9.642 4.443 10.456
angles (deg): 90.00 108.29 90.00
Positions (direct):
K  0.207  0.250  0.238
K  0.793  0.750  0.762
Er  0.331  0.750  0.860
Er  0.669  0.250  0.140
Mn  0.084  0.250  0.606
Mn  0.916  0.750  0.394
Te  0.110  0.250  0.867
Te  0.217  0.750  0.537
Te  0.460  0.750  0.165
Te  0.540  0.250  0.835
Te  0.783  0.250  0.463
Te  0.890  0.750  0.133

- symmetry = P2_1/m, No. 11

=====

[8]
The following is a DFT calculation (PBE) of a relaxed structure of K4Er3MnTe8.

a b c (Å): 9.681 9.681 9.681
angles (deg): 54.12 54.12 54.12
Positions (direct):
K  0.000  0.000  0.000
K  0.000  0.500  0.500
K  0.500  0.000  0.500
K  0.500  0.500  0.000
Er  0.000  0.000  0.500
Er  0.000  0.500  0.000
Er  0.500  0.000  0.000
Mn  0.500  0.500  0.500
Te  0.236  0.236  0.236
Te  0.248  0.725  0.725
Te  0.275  0.275  0.752
Te  0.275  0.752  0.275
Te  0.725  0.248  0.725
Te  0.725  0.725  0.248
Te  0.752  0.275  0.275
Te  0.764  0.764  0.764

- symmetry = R-3m, No. 166

=====

Number 1: energy -58.978 eV/f.u., ΔE_f (raw) -1374 meV/atom, volume 333.1 Å³/f.u.. Number 2: energy -48.831 eV/f.u., ΔE_f (raw) -1088 meV/atom, volume 239.2 Å³/f.u.. Number 3: energy -75.583 eV/f.u., ΔE_f (raw) -1437 meV/atom, volume 445.9 Å³/f.u.. Number 4: energy -53.012 eV/f.u., ΔE_f (raw) -1048 meV/atom, volume 410.4 Å³/f.u.. Number 5: energy -35.353 eV/f.u., ΔE_f (raw) -857 meV/atom, volume 267.7 Å³/f.u.. Number 6: energy -67.499 eV/f.u., ΔE_f (raw) -1081 meV/atom, volume 549.4 Å³/f.u.. Number 7: energy -29.981 eV/f.u., ΔE_f (raw) -954 meV/atom, volume 212.6 Å³/f.u.. Number 8: energy -70.494 eV/f.u., ΔE_f (raw) -1132 meV/atom, volume 553.4 Å³/f.u..